This record from Alexandria describes a PBEsol-optimized structure of CaTe2RuI. The functional is meta-GGA SCAN.

POSCAR file:
```
CaTe2RuI
1.0
-4.994 -1.039 -0.821
1.173 -1.987 -4.623
0.649 -4.921 2.280
Te I Ru Ca
2 1 1 1
direct
0.500 0.000 0.000 Te
0.000 0.500 0.000 Te
0.000 0.000 0.500 I
0.000 0.000 0.000 Ru
0.500 0.500 0.500 Ca
```

Computed properties:
E_tot: -31.3796 eV/atom
space-group type: P4/mmm

This record from Alexandria describes a PBEsol-optimized structure of CaSb2SI. The functional is meta-GGA SCAN.

POSCAR file:
```
CaSb2SI
1.0
-2.204 -3.562 2.997
4.592 -2.210 0.750
0.846 3.299 4.542
I Sb Ca S
1 2 1 1
direct
0.000 0.000 0.500 I
0.500 0.000 0.000 Sb
0.000 0.500 0.000 Sb
0.500 0.500 0.500 Ca
0.000 0.000 0.000 S
```

Computed properties:
E_tot: -26.1098 eV/atom
energy relative to the lowest polymorph listed for this composition: 0.0 meV/atom
space-group type: P4/mmm

This record from Alexandria describes a PBEsol-optimized structure of CaSb2SI. The functional is meta-GGA SCAN.

POSCAR file:
```
CaSb2SI
1.0
5.458 0.000 0.000
0.000 5.787 0.000
0.000 0.000 5.787
Sb Ca I S
2 1 1 1
direct
0.000 0.000 0.500 Sb
0.000 0.500 0.000 Sb
0.000 0.000 0.000 Ca
0.500 0.000 0.000 I
0.500 0.500 0.500 S
```

Computed properties:
E_tot: -25.4166 eV/atom
energy relative to the lowest polymorph listed for this composition: 693.2 meV/atom
space-group type: P4/mmm

This record from Alexandria describes a PBEsol-optimized structure of Ca2TlSI. The functional is meta-GGA SCAN.

POSCAR file:
```
Ca2TlSI
1.0
5.329 0.000 0.000
0.000 5.329 0.000
0.000 0.000 5.997
Ca I S Tl
2 1 1 1
direct
0.500 0.000 0.000 Ca
0.000 0.500 0.000 Ca
0.500 0.500 0.500 I
0.000 0.000 0.000 S
0.000 0.000 0.500 Tl
```

Computed properties:
E_tot: -28.4576 eV/atom
space-group type: P4/mmm

This record from Alexandria describes a PBEsol-optimized structure of CaSbSeI2. The functional is meta-GGA SCAN.

POSCAR file:
```
CaSbSeI2
1.0
5.629 0.000 0.000
0.000 5.514 0.000
0.000 0.000 5.514
I Sb Se Ca
2 1 1 1
direct
0.000 0.500 0.000 I
0.000 0.000 0.500 I
0.500 0.000 0.000 Sb
0.000 0.000 0.000 Se
0.500 0.500 0.500 Ca
```

Computed properties:
E_tot: -28.2077 eV/atom
space-group type: P4/mmm

This record from Alexandria describes a PBEsol-optimized structure of CaScTe2I. The functional is meta-GGA SCAN.

POSCAR file:
```
CaScTe2I
1.0
-5.248 -1.307 -0.892
0.755 -4.848 2.663
-1.423 2.427 4.821
I Sc Ca Te
1 1 1 2
direct
0.500 0.000 0.000 I
0.000 0.000 0.000 Sc
0.500 0.500 0.500 Ca
0.000 0.500 0.000 Te
0.000 0.000 0.500 Te
```

Computed properties:
E_tot: -28.0701 eV/atom
space-group type: P4/mmm

This record from Alexandria describes a PBEsol-optimized structure of CaTeSeI2. The functional is meta-GGA SCAN.

POSCAR file:
```
CaTeSeI2
1.0
-4.469 -1.524 -3.290
1.216 -5.550 0.920
-3.617 0.020 4.904
Ca Te Se I
1 1 1 2
direct
0.000 0.000 0.000 Ca
0.000 0.000 0.500 Te
0.500 0.500 0.500 Se
0.000 0.500 0.000 I
0.500 0.000 0.000 I
```

Computed properties:
E_tot: -28.2167 eV/atom
space-group type: P4/mmm

This record from Alexandria describes a PBEsol-optimized structure of Ca2SiI. The functional is meta-GGA SCAN.

POSCAR file:
```
Ca2SiI
1.0
-2.273 -6.231 -1.618
2.633 2.805 -5.640
4.605 -0.677 4.994
Si I Ca
2 2 4
direct
0.000 0.500 0.500 Si
0.500 0.250 0.750 Si
0.000 0.000 0.000 I
0.500 0.750 0.250 I
0.473 0.875 0.848 Ca
0.027 0.152 0.625 Ca
0.973 0.598 0.125 Ca
0.527 0.375 0.402 Ca
```

Computed properties:
E_tot: -17.0045 eV/atom
space-group type: I-42d

This record from Alexandria describes a PBEsol-optimized structure of CaSiI3. The functional is meta-GGA SCAN.

POSCAR file:
```
CaSiI3
1.0
5.567 0.000 0.000
0.000 5.567 0.000
0.000 0.000 5.567
Si Ca I
1 1 3
direct
0.000 0.000 0.000 Si
0.500 0.500 0.500 Ca
0.000 0.000 0.500 I
0.000 0.500 0.000 I
0.500 0.000 0.000 I
```

Computed properties:
E_tot: -26.2429 eV/atom
space-group type: Pm-3m

This record from Alexandria describes a PBEsol-optimized structure of Sr2CaI6. The functional is meta-GGA SCAN.

POSCAR file:
```
Sr2CaI6
1.0
-5.016 -4.500 1.709
0.540 -3.359 -7.261
4.516 -2.742 6.033
I Sr Ca
6 2 1
direct
0.239 0.330 0.330 I
0.761 0.000 0.330 I
0.239 0.000 0.670 I
0.239 0.670 0.000 I
0.761 0.330 0.000 I
0.761 0.670 0.670 I
0.500 0.667 0.333 Sr
0.500 0.333 0.667 Sr
0.000 0.000 0.000 Ca
```

Computed properties:
E_tot: -32.3222 eV/atom
energy relative to the lowest polymorph listed for this composition: 16.0 meV/atom
space-group type: P-31m

This record from Alexandria describes a PBEsol-optimized structure of Sr2CaI6. The functional is meta-GGA SCAN.

POSCAR file:
```
Sr2CaI6
1.0
-1.749 -6.988 -2.721
7.649 -0.725 -3.056
1.039 -1.031 12.875
I Ca Sr
12 2 4
direct
0.935 0.652 0.824 I
0.065 0.348 0.176 I
0.732 0.978 0.469 I
0.570 0.567 0.166 I
0.737 0.478 0.469 I
0.268 0.022 0.531 I
0.111 0.848 0.176 I
0.263 0.522 0.531 I
0.889 0.152 0.824 I
0.430 0.433 0.834 I
0.596 0.067 0.166 I
0.404 0.933 0.834 I
0.667 0.250 0.000 Ca
0.333 0.750 0.000 Ca
0.025 0.313 0.652 Sr
0.975 0.687 0.348 Sr
0.373 0.187 0.348 Sr
0.627 0.813 0.652 Sr
```

Computed properties:
E_tot: -32.3063 eV/atom
energy relative to the lowest polymorph listed for this composition: 31.9 meV/atom
space-group type: C2/c

This record from Alexandria describes a PBEsol-optimized structure of Sr2CaI6. The functional is meta-GGA SCAN.

POSCAR file:
```
Sr2CaI6
1.0
-1.178 -4.659 5.753
7.649 1.442 2.735
-3.719 9.142 5.580
I Sr Ca
12 4 2
direct
0.667 0.811 0.063 I
0.327 0.177 0.573 I
0.847 0.043 0.745 I
0.653 0.543 0.755 I
0.173 0.677 0.927 I
0.153 0.957 0.255 I
0.673 0.823 0.427 I
0.827 0.323 0.073 I
0.833 0.311 0.437 I
0.167 0.689 0.563 I
0.333 0.189 0.937 I
0.347 0.457 0.245 I
0.446 0.889 0.767 Sr
0.946 0.611 0.267 Sr
0.554 0.111 0.233 Sr
0.054 0.389 0.733 Sr
0.500 0.500 0.500 Ca
0.000 0.000 0.000 Ca
```

Computed properties:
E_tot: -32.3383 eV/atom
energy relative to the lowest polymorph listed for this composition: 0.0 meV/atom
space-group type: P2_1/c

This record from Alexandria describes a PBEsol-optimized structure of SrCaI4. The functional is meta-GGA SCAN.

POSCAR file:
```
SrCaI4
1.0
4.741 0.000 0.000
0.000 7.475 -0.003
0.000 -0.006 7.475
I Sr Ca
4 1 1
direct
0.000 0.808 0.808 I
0.500 0.706 0.294 I
0.000 0.192 0.192 I
0.500 0.294 0.706 I
0.000 0.500 0.500 Sr
0.500 0.000 0.000 Ca
```

Computed properties:
E_tot: -31.6094 eV/atom
space-group type: Cmmm

This record from Alexandria describes a PBEsol-optimized structure of Sr2CaI6. The functional is meta-GGA SCAN.

POSCAR file:
```
Sr2CaI6
1.0
-6.226 3.614 -0.292
-1.895 -2.671 7.351
12.016 21.583 10.940
Sr I Ca
8 24 4
direct
0.500 0.750 0.548 Sr
0.000 0.250 0.952 Sr
0.000 0.750 0.048 Sr
0.500 0.750 0.215 Sr
0.000 0.250 0.285 Sr
0.500 0.250 0.785 Sr
0.000 0.750 0.715 Sr
0.500 0.250 0.452 Sr
0.747 0.918 0.801 I
0.246 0.564 0.630 I
0.753 0.418 0.699 I
0.745 0.418 0.038 I
0.254 0.564 0.130 I
0.255 0.582 0.962 I
0.745 0.918 0.962 I
0.755 0.918 0.462 I
0.253 0.582 0.801 I
0.754 0.936 0.630 I
0.255 0.082 0.038 I
0.253 0.082 0.199 I
0.746 0.936 0.130 I
0.754 0.436 0.370 I
0.245 0.082 0.538 I
0.747 0.418 0.199 I
0.753 0.918 0.301 I
0.746 0.436 0.870 I
0.755 0.418 0.538 I
0.246 0.064 0.370 I
0.254 0.064 0.870 I
0.245 0.582 0.462 I
0.247 0.082 0.699 I
0.247 0.582 0.301 I
0.000 0.750 0.381 Ca
0.500 0.250 0.119 Ca
0.500 0.750 0.881 Ca
0.000 0.250 0.619 Ca
```

Computed properties:
E_tot: -32.3339 eV/atom
energy relative to the lowest polymorph listed for this composition: 4.4 meV/atom
space-group type: Pbcn

This record from Alexandria describes a PBEsol-optimized structure of Sr2CaI6. The functional is meta-GGA SCAN.

POSCAR file:
```
Sr2CaI6
1.0
-1.141 5.992 4.387
-7.426 -0.876 -0.736
-0.145 -8.527 11.608
I Sr Ca
12 4 2
direct
0.695 0.695 0.340 I
0.805 0.195 0.160 I
0.805 0.195 0.840 I
0.695 0.695 0.660 I
0.195 0.805 0.160 I
0.794 0.206 0.500 I
0.206 0.794 0.500 I
0.305 0.305 0.340 I
0.706 0.706 0.000 I
0.195 0.805 0.840 I
0.305 0.305 0.660 I
0.294 0.294 0.000 I
0.000 0.000 0.666 Sr
0.500 0.500 0.166 Sr
0.500 0.500 0.834 Sr
0.000 0.000 0.334 Sr
0.000 0.000 0.000 Ca
0.500 0.500 0.500 Ca
```

Computed properties:
E_tot: -32.3293 eV/atom
energy relative to the lowest polymorph listed for this composition: 8.9 meV/atom
space-group type: P4_2/mnm

This record from Alexandria describes a PBEsol-optimized structure of SrCaI4. The functional is meta-GGA SCAN.

POSCAR file:
```
SrCaI4
1.0
-0.449 4.292 -5.474
-7.222 -2.664 -1.496
-7.105 13.147 10.890
I Sr Ca
16 4 4
direct
0.737 0.412 0.061 I
0.263 0.588 0.939 I
0.763 0.912 0.439 I
0.756 0.913 0.696 I
0.256 0.587 0.196 I
0.756 0.413 0.304 I
0.263 0.088 0.061 I
0.744 0.913 0.196 I
0.737 0.912 0.939 I
0.237 0.588 0.439 I
0.744 0.413 0.804 I
0.244 0.087 0.304 I
0.763 0.412 0.561 I
0.256 0.087 0.804 I
0.244 0.587 0.696 I
0.237 0.088 0.561 I
0.500 0.250 0.433 Sr
0.500 0.750 0.567 Sr
0.000 0.250 0.933 Sr
0.000 0.750 0.067 Sr
0.500 0.750 0.815 Ca
0.000 0.750 0.315 Ca
0.000 0.250 0.685 Ca
0.500 0.250 0.185 Ca
```

Computed properties:
E_tot: -31.6025 eV/atom
space-group type: Pbcn

This record from Alexandria describes a PBEsol-optimized structure of SrCaI4. The functional is meta-GGA SCAN.

POSCAR file:
```
SrCaI4
1.0
-3.112 5.289 -7.637
-4.273 -8.822 0.308
-7.732 3.950 5.887
Ca I Sr
4 16 4
direct
0.220 0.716 0.046 Ca
0.280 0.784 0.546 Ca
0.720 0.216 0.454 Ca
0.780 0.284 0.954 Ca
0.091 0.664 0.313 I
0.812 0.984 0.930 I
0.498 0.662 0.147 I
0.375 0.121 0.517 I
0.188 0.016 0.070 I
0.591 0.164 0.187 I
0.909 0.336 0.687 I
0.688 0.516 0.430 I
0.875 0.621 0.983 I
0.409 0.836 0.813 I
0.502 0.338 0.853 I
0.998 0.162 0.353 I
0.125 0.379 0.017 I
0.625 0.879 0.483 I
0.312 0.484 0.570 I
0.002 0.838 0.647 I
0.149 0.171 0.771 Sr
0.351 0.329 0.271 Sr
0.851 0.829 0.229 Sr
0.649 0.671 0.729 Sr
```

Computed properties:
E_tot: -31.5703 eV/atom
space-group type: P2_1/c

This record from Alexandria describes a PBEsol-optimized structure of Sr2CaI6. The functional is meta-GGA SCAN.

POSCAR file:
```
Sr2CaI6
1.0
-0.575 3.532 6.972
4.326 -5.693 3.241
7.625 8.977 -3.919
Sr I Ca
4 12 2
direct
0.500 0.334 0.668 Sr
0.500 0.666 0.332 Sr
0.000 0.166 0.332 Sr
0.000 0.834 0.668 Sr
0.726 0.141 0.835 I
0.774 0.805 0.165 I
0.274 0.859 0.165 I
0.774 0.641 0.835 I
0.250 0.486 0.500 I
0.250 0.986 0.500 I
0.726 0.305 0.165 I
0.750 0.514 0.500 I
0.226 0.195 0.835 I
0.274 0.695 0.835 I
0.750 0.014 0.500 I
0.226 0.359 0.165 I
0.500 0.000 0.000 Ca
0.000 0.500 0.000 Ca
```

Computed properties:
E_tot: -32.2641 eV/atom
energy relative to the lowest polymorph listed for this composition: 74.2 meV/atom
space-group type: Cmce

This record from Alexandria describes a PBEsol-optimized structure of SrCaI4. The functional is meta-GGA SCAN.

POSCAR file:
```
SrCaI4
1.0
7.525 -0.024 0.000
-1.682 8.223 0.000
-2.921 -4.100 7.250
I Sr Ca
8 2 2
direct
0.712 0.295 0.354 I
0.873 0.640 0.880 I
0.142 0.059 0.354 I
0.288 0.705 0.646 I
0.493 0.760 0.120 I
0.507 0.240 0.880 I
0.127 0.360 0.120 I
0.858 0.941 0.646 I
0.115 0.365 0.730 Sr
0.885 0.635 0.270 Sr
0.749 0.999 0.998 Ca
0.251 0.001 0.002 Ca
```

Computed properties:
E_tot: -31.5585 eV/atom
space-group type: C2/c

This record from Alexandria describes a PBEsol-optimized structure of Sr2CaI6. The functional is meta-GGA SCAN.

POSCAR file:
```
Sr2CaI6
1.0
7.231 0.000 0.000
0.000 13.714 0.000
0.000 -6.857 11.876
I Ca Sr
18 3 6
direct
0.746 0.121 0.545 I
0.254 0.545 0.121 I
0.245 0.214 0.122 I
0.755 0.092 0.878 I
0.245 0.908 0.786 I
0.755 0.786 0.908 I
0.751 0.454 0.224 I
0.746 0.455 0.576 I
0.254 0.576 0.455 I
0.751 0.771 0.546 I
0.254 0.879 0.424 I
0.746 0.424 0.879 I
0.755 0.122 0.214 I
0.751 0.776 0.229 I
0.249 0.224 0.454 I
0.249 0.546 0.771 I
0.249 0.229 0.776 I
0.245 0.878 0.092 I
0.502 0.667 0.333 Ca
0.000 0.000 0.000 Ca
0.498 0.333 0.667 Ca
0.500 0.000 0.316 Sr
0.000 0.350 0.350 Sr
0.000 0.650 0.000 Sr
0.000 0.000 0.650 Sr
0.500 0.684 0.684 Sr
0.500 0.316 0.000 Sr
```

Computed properties:
E_tot: -32.3369 eV/atom
energy relative to the lowest polymorph listed for this composition: 1.3 meV/atom
space-group type: P321

| no. | total magnetic moment (μB per atom) |
| --- | --- |
| 1 | 0.32 |
| 2 | 0.00 |
| 3 | 0.00 |
| 4 | 0.00 |
| 5 | 0.00 |
| 6 | 0.00 |
| 7 | 0.13 |
| 8 | 0.00 |
| 9 | 0.00 |
| 10 | 0.00 |
| 11 | 0.00 |
| 12 | 0.00 |
| 13 | 0.00 |
| 14 | 0.00 |
| 15 | 0.00 |
| 16 | 0.00 |
| 17 | 0.00 |
| 18 | 0.00 |
| 19 | 0.00 |
| 20 | 0.00 |